No. 1
First-principles (PBE-GGA) data for a relaxed NaCa2Ge3Pt4 crystal, as listed in Alexandria via LeMat-Bulk.

abc: 4.2194 4.2194 11.0284
angles: 90.00 90.00 90.00
Closest atoms and distances in Å follow each position.
Sites, in units of the cell vectors:
Ca (0.0000, 0.5000, 0.7557)  8 Pt 3.20-3.42, 6 Ge 3.24-3.52, 2 Na 3.52
Ge (0.0000, 0.5000, 0.1291)  5 Pt 2.43-2.55
Ca (0.5000, 0.0000, 0.2443)  8 Pt 3.20-3.42, 6 Ge 3.24-3.52, 2 Na 3.52
Na (0.5000, 0.5000, 0.5000)  4 Pt 2.68, 4 Ge 2.98
Ge (0.5000, 0.0000, 0.8709)  5 Pt 2.43-2.55
Pt (0.5000, 0.5000, 0.0000)  4 Ge 2.55
Ge (0.0000, 0.0000, 0.5000)  4 Pt 2.68, 4 Na 2.98
Pt (0.5000, 0.0000, 0.6504)  3 Ge 2.43-2.68, 2 Na 2.68
Pt (0.0000, 0.5000, 0.3496)  3 Ge 2.43-2.68, 2 Na 2.68
Pt (0.0000, 0.0000, 0.0000)  4 Ge 2.55

## Properties
The value obtained for the calculated total energy is -50.4 eV/cell. Its magnetization is 0.00 μB/f.u. Its space group is P-4m2 (115).

***

No. 2
First-principles (PBE-GGA) data for a relaxed NaCa2Ge4Pt3 crystal, as listed in Alexandria via LeMat-Bulk.

abc: 4.3707 4.3707 10.5123
angles: 90.00 90.00 90.00
Closest atoms and distances in Å follow each position.
Sites, in units of the cell vectors:
Ge (0.0000, 0.5000, 0.3562)  3 Pt 2.45-2.66, 2 Na 2.66
Ge (0.5000, 0.0000, 0.6438)  3 Pt 2.45-2.66, 2 Na 2.66
Ca (0.5000, 0.0000, 0.2426)  8 Ge 3.31-3.36, 6 Pt 3.34-3.48, 2 Na 3.48
Ge (0.5000, 0.5000, 0.0000)  4 Pt 2.54
Pt (0.0000, 0.5000, 0.1230)  5 Ge 2.45-2.54
Na (0.5000, 0.5000, 0.5000)  4 Ge 2.66
Ca (0.0000, 0.5000, 0.7574)  8 Ge 3.31-3.36, 6 Pt 3.34-3.48, 2 Na 3.48
Ge (0.0000, 0.0000, 0.0000)  4 Pt 2.54
Pt (0.0000, 0.0000, 0.5000)  4 Ge 2.66
Pt (0.5000, 0.0000, 0.8770)  5 Ge 2.45-2.54

## Properties
The value obtained for the calculated total energy is -47.9 eV/cell. Its magnetization is 0.00 μB/f.u. Its space group is P-4m2 (115).

***

No. 3
First-principles (PBE-GGA) data for a relaxed Na2CaGeRh crystal, as listed in Alexandria via LeMat-Bulk.

abc: 5.2837 5.6798 5.2837
angles: 90.00 90.00 90.00
Closest atoms and distances in Å follow each position.
Sites, in units of the cell vectors:
Ca (0.0000, 0.5000, 0.0000)  2 Ge 2.84
Na (0.0000, 0.0000, 0.5000)  2 Ge 2.64
Ge (0.0000, 0.0000, 0.0000)  4 Na 2.64, 2 Ca 2.84
Rh (0.5000, 0.5000, 0.5000)  4 Ca 3.74, 8 Na 3.88
Na (0.5000, 0.0000, 0.0000)  2 Ge 2.64

## Properties
The value obtained for the calculated total energy is -13.3 eV/cell. Its magnetization is 2.00 μB/f.u. Its space group is P4/mmm (123).

***

No. 4
First-principles (PBE-GGA) data for a relaxed Na2CaGeS4 crystal, as listed in Alexandria via LeMat-Bulk.

abc: 7.8516 7.8516 8.0348
angles: 120.78 120.78 90.32
Closest atoms and distances in Å follow each position.
Sites, in units of the cell vectors:
S (0.2500, 0.2493, 0.0311)  2 Ge 2.59, 1 Na 2.79, 1 Ca 2.80
S (0.7138, 0.2857, 0.4998)  1 Ge 2.38
Ca (0.0000, 0.5000, 0.5000)  6 S 2.80
S (0.2507, 0.2500, 0.4689)  2 Ge 2.59, 1 Na 2.79, 1 Ca 2.80
S (0.7858, 0.2138, 0.9998)  1 Ge 2.38
Na (0.5000, 0.0000, 0.5000)  6 S 2.79-2.80
Na (0.0000, 0.0000, 0.5000)  6 S 2.95-3.18
S (0.2143, 0.7862, 0.0002)  1 Ge 2.38
Ge (0.0000, 0.0000, 0.0000)  6 S 2.38-2.59
Ca (0.0000, 0.5000, 0.0000)  6 S 2.80
S (0.2862, 0.7143, 0.5002)  1 Ge 2.38
S (0.7493, 0.7500, 0.5311)  2 Ge 2.59, 1 Na 2.79, 1 Ca 2.80
S (0.7500, 0.7507, 0.9689)  2 Ge 2.59, 1 Na 2.79, 1 Ca 2.80
Na (0.5000, 0.0000, 0.0000)  6 S 2.79-2.80
Na (0.5000, 0.5000, 0.0000)  6 S 2.95-3.18
Ge (0.5000, 0.5000, 0.5000)  6 S 2.38-2.59

## Properties
Its magnetization is 0.00 μB/f.u. Its space group is Imma (74). As for the uncorrected formation energy: -990 meV per atom.

***

No. 5
First-principles (PBE-GGA) data for a relaxed Na2CaGeSe4 crystal, as listed in Alexandria via LeMat-Bulk.

abc: 8.2414 8.2414 8.5531
angles: 121.26 121.26 90.21
Closest atoms and distances in Å follow each position.
Sites, in units of the cell vectors:
Se (0.7774, 0.2219, 0.9996)  1 Ge 2.60
Ge (0.0000, 0.0000, 0.0000)  6 Se 2.60-2.72
Se (0.2226, 0.7781, 0.0004)  1 Ge 2.60
Se (0.7495, 0.7504, 0.9691)  2 Ge 2.72, 1 Na 2.93, 1 Ca 2.94
Se (0.2505, 0.2496, 0.0309)  2 Ge 2.72, 1 Na 2.93, 1 Ca 2.94
Ca (0.0000, 0.5000, 0.5000)  6 Se 2.93-2.94
Na (0.5000, 0.0000, 0.5000)  6 Se 2.92-2.93
Ge (0.5000, 0.5000, 0.5000)  6 Se 2.60-2.72
Na (0.0000, 0.0000, 0.5000)  6 Se 3.11-3.24
Ca (0.0000, 0.5000, 0.0000)  6 Se 2.93-2.94
Na (0.5000, 0.5000, 0.0000)  6 Se 3.11-3.24
Se (0.2781, 0.7226, 0.5004)  1 Ge 2.60
Se (0.2504, 0.2495, 0.4691)  2 Ge 2.72, 1 Na 2.93, 1 Ca 2.94
Se (0.7219, 0.2774, 0.4996)  1 Ge 2.60
Na (0.5000, 0.0000, 0.0000)  6 Se 2.92-2.93
Se (0.7496, 0.7505, 0.5309)  2 Ge 2.72, 1 Na 2.93, 1 Ca 2.94

## Properties
Its magnetization is 0.00 μB/f.u. Its space group is Imma (74). As for the uncorrected formation energy: -914 meV per atom.

***

No. 6
First-principles (PBE-GGA) data for a relaxed Na2CaSiGe crystal, as listed in Alexandria via LeMat-Bulk.

abc: 5.3639 5.6895 5.3639
angles: 90.00 90.00 90.00
Closest atoms and distances in Å follow each position.
Sites, in units of the cell vectors:
Na (0.0000, 0.0000, 0.5000)  2 Ge 2.68
Na (0.5000, 0.0000, 0.0000)  2 Ge 2.68
Ge (0.0000, 0.0000, 0.0000)  4 Na 2.68, 2 Ca 2.84
Ca (0.0000, 0.5000, 0.0000)  2 Ge 2.84
Si (0.5000, 0.5000, 0.5000)  4 Ca 3.79, 8 Na 3.91

## Properties
Its magnetization is 1.02 μB/f.u. Its space group is P4/mmm (123). As for the uncorrected formation energy: 458 meV per atom.

***

No. 7
First-principles (PBE-GGA) data for a relaxed NaCaSnGe crystal, as listed in Alexandria via LeMat-Bulk.

abc: 5.2438 5.2438 5.2438
angles: 60.00 60.00 60.00
Closest atoms and distances in Å follow each position.
Sites, in units of the cell vectors:
Ge (0.2500, 0.2500, 0.2500)  4 Na 3.21, 4 Ca 3.21
Na (0.5000, 0.5000, 0.5000)  4 Ge 3.21, 4 Sn 3.21
Ca (0.0000, 0.0000, 0.0000)  4 Ge 3.21, 4 Sn 3.21
Sn (0.7500, 0.7500, 0.7500)  4 Na 3.21, 4 Ca 3.21

## Properties
The value obtained for the calculated total energy is -12.9 eV/cell. Its magnetization is 0.00 μB/f.u. Its space group is F-43m (216).

***

No. 8
First-principles (PBE-GGA) data for a relaxed NaCa2SnGe crystal, as listed in Alexandria via LeMat-Bulk.

abc: 5.6567 4.9269 5.6567
angles: 90.00 90.00 90.00
Closest atoms and distances in Å follow each position.
Sites, in units of the cell vectors:
Sn (0.5000, 0.5000, 0.5000)  8 Ca 3.75, 4 Ge 4.00
Na (0.0000, 0.0000, 0.0000)  2 Ge 2.46
Ca (0.5000, 0.0000, 0.0000)  2 Na 2.83
Ge (0.0000, 0.5000, 0.0000)  2 Na 2.46
Ca (0.0000, 0.0000, 0.5000)  2 Na 2.83

## Properties
The value obtained for the calculated total energy is -12.4 eV/cell. Its magnetization is 0.00 μB/f.u. Its space group is P4/mmm (123).